1.
An optimized crystal structure of LaTlZn2, computed with PBE-GGA.

Formation energy ... -140.5 meV/atom
DOS(E_F) ... 0.75 states/eV per atom

Geometry as POSCAR:
```
LaTlZn2
1.0
3.5044 0.0000 0.0000
0.0000 3.5044 0.0000
0.0000 0.0000 7.6297
La Tl Zn
1 1 2
direct
0.0000 0.0000 0.0000 La
0.5000 0.5000 0.3204 Tl
0.0000 0.0000 0.5700 Zn
0.5000 0.5000 0.7203 Zn
```

=====

2.
An optimized crystal structure of Sr4MgGa3, computed with PBE-GGA.

Formation energy ... -294.9 meV/atom
DOS(E_F) ... 1.09 states/eV per atom

Geometry as POSCAR:
```
Sr4MgGa3
1.0
4.5613 0.0000 0.0000
0.0000 4.7772 0.0000
0.0000 0.0000 12.2942
Sr Mg Ga
4 1 3
direct
0.0000 0.0000 0.0000 Sr
0.0000 0.5000 0.4745 Sr
0.5000 0.0000 0.6906 Sr
0.5000 0.5000 0.2034 Sr
0.0000 0.5000 0.7883 Mg
0.0000 0.0000 0.2835 Ga
0.5000 0.0000 0.3980 Ga
0.5000 0.5000 0.9202 Ga
```

=====

3.
An optimized crystal structure of AsPtW2, computed with PBE-GGA.

Formation energy ... 196.1 meV/atom
DOS(E_F) ... 0.91 states/eV per atom

Geometry as POSCAR:
```
AsPtW2
1.0
2.8775 0.0000 0.0000
-1.4387 2.4920 0.0000
0.0000 0.0000 27.2049
As Pt W
3 3 6
direct
0.0000 0.0000 0.0000 As
0.3333 0.6667 0.6667 As
0.6667 0.3333 0.3333 As
0.0000 0.0000 0.2456 Pt
0.3333 0.6667 0.9122 Pt
0.6667 0.3333 0.5789 Pt
0.0000 0.0000 0.4980 W
0.0000 0.0000 0.7436 W
0.3333 0.6667 0.1647 W
0.3333 0.6667 0.4102 W
0.6667 0.3333 0.0769 W
0.6667 0.3333 0.8313 W
```

=====

4.
An optimized crystal structure of Zn2AsAu, computed with PBE-GGA.

Formation energy ... 49.8 meV/atom
DOS(E_F) ... 0.38 states/eV per atom

Geometry as POSCAR:
```
Zn2AsAu
1.0
4.1590 0.0000 0.0000
0.0000 4.2215 0.0000
0.0000 0.0000 7.7759
Zn As Au
4 2 2
direct
0.0000 0.0000 0.2504 Zn
0.0000 0.0000 0.7496 Zn
0.5000 0.5000 0.2496 Zn
0.5000 0.5000 0.7504 Zn
0.0000 0.5000 0.0000 As
0.5000 0.0000 0.5000 As
0.0000 0.5000 0.5000 Au
0.5000 0.0000 0.0000 Au
```

=====

5.
An optimized crystal structure of TbMg, computed with PBE-GGA.

Formation energy ... -86.3 meV/atom
DOS(E_F) ... 1.32 states/eV per atom

Geometry as POSCAR:
```
TbMg
1.0
3.8008 0.0000 0.0000
0.0000 3.8008 0.0000
0.0000 0.0000 3.8008
Tb Mg
1 1
direct
0.0000 0.0000 0.0000 Tb
0.5000 0.5000 0.5000 Mg
```

=====

6.
An optimized crystal structure of Pm9Ho2Sc, computed with PBE-GGA.

Formation energy ... 24.5 meV/atom
DOS(E_F) ... 1.57 states/eV per atom

Geometry as POSCAR:
```
Pm9Ho2Sc
1.0
5.0855 0.0000 0.0000
0.0000 5.0855 0.0000
0.0000 0.0000 15.2655
Pm Ho Sc
9 2 1
direct
0.0000 0.0000 0.0000 Pm
0.0000 0.0000 0.3314 Pm
0.0000 0.0000 0.6686 Pm
0.0000 0.5000 0.1628 Pm
0.0000 0.5000 0.5000 Pm
0.0000 0.5000 0.8372 Pm
0.5000 0.0000 0.1628 Pm
0.5000 0.0000 0.5000 Pm
0.5000 0.0000 0.8372 Pm
0.5000 0.5000 0.3313 Ho
0.5000 0.5000 0.6687 Ho
0.5000 0.5000 0.0000 Sc
```

=====

7.
An optimized crystal structure of CuP2HCl, computed with PBE-GGA.

Polymorph energy (0 for the lowest one) ... 588 meV/atom
DOS(E_F) ... 1.00 states/eV per atom

Geometry as POSCAR:
```
CuP2HCl
1.0
4.4254 0.0000 0.0000
0.0000 4.4254 0.0000
0.0000 0.0000 5.2348
Cu P H Cl
1 2 1 1
direct
0.0000 0.0000 0.0000 Cu
0.0000 0.5000 0.0000 P
0.5000 0.0000 0.0000 P
0.5000 0.5000 0.5000 H
0.0000 0.0000 0.5000 Cl
```

=====

8.
An optimized crystal structure of Sm2Tm3Th2, computed with PBE-GGA.

Formation energy ... 29.1 meV/atom
Polymorph energy (0 for the lowest one) ... 0 meV/atom
DOS(E_F) ... 1.26 states/eV per atom

Geometry as POSCAR:
```
Sm2Tm3Th2
1.0
15.4149 0.0000 0.0000
0.0000 3.5769 0.0000
-3.1036 0.0000 8.0862
Sm Tm Th
4 6 4
direct
0.2162 0.0000 0.1423 Sm
0.2838 0.5000 0.8577 Sm
0.7162 0.5000 0.1423 Sm
0.7838 0.0000 0.8577 Sm
0.0000 0.5000 0.0000 Tm
0.1390 0.5000 0.4348 Tm
0.3610 0.0000 0.5652 Tm
0.5000 0.0000 0.0000 Tm
0.6390 0.0000 0.4348 Tm
0.8610 0.5000 0.5652 Tm
0.0678 0.0000 0.7113 Th
0.4322 0.5000 0.2887 Th
0.5678 0.5000 0.7113 Th
0.9322 0.0000 0.2887 Th
```

=====

9.
An optimized crystal structure of TiSnPb2, computed with PBE-GGA.

Formation energy ... 432.8 meV/atom
DOS(E_F) ... 1.16 states/eV per atom

Geometry as POSCAR:
```
TiSnPb2
1.0
3.3013 0.0000 0.0000
-1.6507 2.8590 0.0000
0.0000 0.0000 35.1697
Ti Sn Pb
3 3 6
direct
0.0000 0.0000 0.0000 Ti
0.3333 0.6667 0.6667 Ti
0.6667 0.3333 0.3333 Ti
0.0000 0.0000 0.5000 Sn
0.3333 0.6667 0.1667 Sn
0.6667 0.3333 0.8333 Sn
0.0000 0.0000 0.0820 Pb
0.0000 0.0000 0.9180 Pb
0.3333 0.6667 0.5847 Pb
0.3333 0.6667 0.7486 Pb
0.6667 0.3333 0.2514 Pb
0.6667 0.3333 0.4153 Pb
```

=====

10.
An optimized crystal structure of In5Se4, computed with PBE-GGA.

E_form (uncorrected) ... -0.248 eV/atom
Polymorph energy (0 for the lowest one) ... 18 meV/atom
DOS(E_F) ... 0.55 states/eV per atom

Geometry as POSCAR:
```
In5Se4
1.0
-5.8186 5.8186 2.0012
5.8186 -5.8186 2.0012
5.8186 5.8186 -2.0012
In Se
5 4
direct
0.0000 0.0000 0.0000 In
0.2705 0.5916 0.8621 In
0.4084 0.2705 0.6789 In
0.5916 0.7295 0.3211 In
0.7295 0.4084 0.1379 In
0.0875 0.7470 0.8346 Se
0.2530 0.0875 0.3405 Se
0.7470 0.9125 0.6595 Se
0.9125 0.2530 0.1654 Se
```

=====

11.
An optimized crystal structure of AcPm2OsN5, computed with PBE-GGA.

E_form (uncorrected) ... -0.862 eV/atom
DOS(E_F) ... 0.42 states/eV per atom

Geometry as POSCAR:
```
AcPm2OsN5
1.0
-3.4389 3.4389 5.7966
3.4389 -3.4389 5.7966
3.4389 3.4389 -5.7966
Ac Pm Os N
2 4 2 10
direct
0.2500 0.2500 0.0000 Ac
0.7500 0.7500 0.0000 Ac
0.1776 0.6776 0.8552 Pm
0.3224 0.1776 0.5000 Pm
0.6776 0.8224 0.5000 Pm
0.8224 0.3224 0.1448 Pm
0.2500 0.7500 0.5000 Os
0.7500 0.2500 0.5000 Os
0.0000 0.0000 0.0000 N
0.0003 0.2147 0.5000 N
0.9997 0.7853 0.5000 N
0.2147 0.7147 0.2145 N
0.2853 0.4997 0.5000 N
0.4997 0.9997 0.2145 N
0.5003 0.0003 0.7855 N
0.5000 0.5000 0.0000 N
0.7147 0.5003 0.5000 N
0.7853 0.2853 0.7855 N
```

=====

12.
An optimized crystal structure of TmPaAl6, computed with PBE-GGA.

Formation energy ... -329.3 meV/atom
DOS(E_F) ... 0.69 states/eV per atom

Geometry as POSCAR:
```
TmPaAl6
1.0
6.2492 0.0000 0.0000
-3.1246 5.4119 0.0000
0.0000 0.0000 4.6078
Tm Pa Al
1 1 6
direct
0.0000 0.0000 0.0000 Tm
0.3333 0.6667 0.5000 Pa
0.3686 0.1843 0.5000 Al
0.5193 0.0386 0.0000 Al
0.5193 0.4807 0.0000 Al
0.8157 0.1843 0.5000 Al
0.8157 0.6314 0.5000 Al
0.9614 0.4807 0.0000 Al
```

=====

Ρ? In order: 8.40; 3.62; 16.28; 9.80; 5.54; 7.07; 2.62; 9.47; 8.72; 5.45; 9.41; 5.99 g/cm³.